1.
The following is a GGA-PBE calculation of crystalline SbRh2Au at its relaxed geometry, from Alexandria.

Cell and atoms, written as CIF:
```
data_SbRh2Au
_chemical_formula_sum 'Sb1 Rh2 Au1'
_symmetry_space_group_name_H-M 'P 4/m m m'
_symmetry_Int_Tables_number 123
_symmetry_space_group_name_Hall '-P 4 2'
_cell_length_a 3.2486
_cell_length_b 3.2486
_cell_length_c 6.3819
_cell_angle_alpha 90.00
_cell_angle_beta 90.00
_cell_angle_gamma 90.00
loop_
_atom_site_label
_atom_site_fract_x
_atom_site_fract_y
_atom_site_fract_z
_atom_site_occupancy
Sb1 0.0000 0.0000 0.0000 1
Rh1 0.5000 0.5000 0.2323 1
Au1 0.0000 0.0000 0.5000 1
```

=====

2.
The following is a GGA-PBE calculation of crystalline SbRh2Au at its relaxed geometry, from Alexandria.

Cell and atoms, written as CIF:
```
data_SbRh2Au
_chemical_formula_sum 'Sb2 Rh4 Au2'
_symmetry_space_group_name_H-M 'I -4 m 2'
_symmetry_Int_Tables_number 119
_symmetry_space_group_name_Hall 'I -4 -2'
_cell_length_a 4.0015
_cell_length_b 4.0015
_cell_length_c 8.4146
_cell_angle_alpha 90.00
_cell_angle_beta 90.00
_cell_angle_gamma 90.00
loop_
_atom_site_label
_atom_site_fract_x
_atom_site_fract_y
_atom_site_fract_z
_atom_site_occupancy
Sb1 0.0000 0.0000 0.0000 1
Rh1 0.0000 0.0000 0.5000 1
Rh2 0.0000 0.5000 0.2500 1
Au1 0.0000 0.5000 0.7500 1
```

=====

Record-wise E_form (uncorrected) values, in eV per formula unit: -0.46 0.11